# 1
VASP calculation (PBE-GGA) on an optimized crystal structure of Tl16AgHg12.

Output
Fermi-level density of states ... 0.345 states/eV per atom
Total magnetization ... 0.00 μB/atom
DFT formation energy ... 0.01 eV/atom

```
29
Lattice="5.920 -8.324 0.000 5.920 8.324 0.000 -5.879 0.000 8.372" Properties=species:S:1:pos:R:3 pbc="T T T"
Tl 0.000 0.000 0.000
Tl 1.788 5.733 3.382
Tl -1.567 3.225 5.763
Tl -3.382 0.000 5.514
Tl 1.724 2.591 4.977
Tl 4.320 3.309 2.755
Tl 2.204 0.000 2.899
Tl -1.567 -3.225 5.763
Tl 0.429 2.017 8.299
Tl 1.724 -2.591 4.977
Tl 5.584 0.000 2.632
Tl 9.669 2.976 0.033
Tl 0.429 -2.017 8.299
Tl 1.788 -5.733 3.382
Tl 4.320 -3.309 2.755
Tl 9.669 -2.976 0.033
Ag -0.285 0.000 5.774
Hg -0.924 1.540 3.109
Hg 3.241 1.515 0.083
Hg -0.924 -1.540 3.109
Hg 1.203 5.103 6.817
Hg 3.241 -1.515 0.083
Hg 6.981 5.081 1.514
Hg 2.568 0.000 6.767
Hg 4.965 1.586 5.485
Hg 1.203 -5.103 6.817
Hg 8.668 0.000 1.513
Hg 4.965 -1.586 5.485
Hg 6.981 -5.081 1.514
```

# 2
VASP calculation (PBE-GGA) on an optimized crystal structure of YPbBr2.

Output
E_form (uncorrected) ... -0.962 eV/atom
Fermi-level density of states ... 0.571 states/eV per atom
Total magnetization ... 0.00 μB/atom
Relative energy among the computed polymorphs ... 63 meV per atom

```
4
Lattice="3.458 0.000 0.000 0.000 3.458 0.000 0.000 0.000 11.662" Properties=species:S:1:pos:R:3 pbc="T T T"
Y 0.000 0.000 0.000
Pb 0.000 0.000 5.831
Br 1.729 1.729 1.725
Br 1.729 1.729 9.937
```

# 3
VASP calculation (PBE-GGA) on an optimized crystal structure of CsRuN2.

Output
E_form (uncorrected) ... 2.412 eV/atom
Fermi-level density of states ... 1.101 states/eV per atom
Total magnetization ... 0.07 μB/atom
Relative energy among the computed polymorphs ... 2282 meV per atom

```
16
Lattice="6.117 0.000 0.000 0.000 6.117 0.000 0.000 0.000 6.117" Properties=species:S:1:pos:R:3 pbc="T T T"
Cs 0.000 0.000 0.000
Cs 0.000 3.058 3.058
Cs 3.058 0.000 3.058
Cs 3.058 3.058 0.000
Ru 0.000 0.000 3.058
Ru 0.000 3.058 0.000
Ru 3.058 0.000 0.000
Ru 3.058 3.058 3.058
N 1.529 1.529 1.529
N 1.529 1.529 4.588
N 1.529 4.588 1.529
N 1.529 4.588 4.588
N 4.588 1.529 1.529
N 4.588 1.529 4.588
N 4.588 4.588 1.529
N 4.588 4.588 4.588
```

# 4
VASP calculation (PBE-GGA) on an optimized crystal structure of Er2TmIrO8.

Output
E_form (uncorrected) ... -2.398 eV/atom
Fermi-level density of states ... 0.467 states/eV per atom
Total magnetization ... 0.12 μB/atom

```
12
Lattice="4.990 0.000 0.000 0.000 6.696 0.000 -0.066 0.000 4.999" Properties=species:S:1:pos:R:3 pbc="T T T"
Er 0.000 1.654 0.000
Er 0.000 5.042 0.000
Tm 2.462 0.000 2.499
Ir 2.462 3.348 2.499
O 0.960 0.000 0.966
O 1.129 3.348 1.139
O 1.528 1.912 3.415
O 1.528 4.784 3.415
O 3.396 1.912 1.584
O 3.396 4.784 1.584
O 3.796 3.348 3.860
O 3.964 0.000 4.033
```

# 5
VASP calculation (PBE-GGA) on an optimized crystal structure of BaCaYSbO6.

Output
E_form (uncorrected) ... -2.575 eV/atom
Fermi-level density of states ... 0.000 states/eV per atom
Total magnetization ... 0.00 μB/atom

```
10
Lattice="0.000 4.214 4.214 4.214 0.000 4.214 4.214 4.214 0.000" Properties=species:S:1:pos:R:3 pbc="T T T"
Ba 0.000 0.000 0.000
Ca 4.214 4.214 4.214
Y 6.322 6.322 6.322
Sb 2.107 2.107 2.107
O 2.107 2.107 0.109
O 2.107 0.109 2.107
O 4.105 2.107 2.107
O 0.109 2.107 2.107
O 2.107 4.105 2.107
O 2.107 2.107 4.105
```

# 6
VASP calculation (PBE-GGA) on an optimized crystal structure of TeP2Pt.

Output
E_form (uncorrected) ... 0.041 eV/atom
Fermi-level density of states ... 0.377 states/eV per atom
Total magnetization ... 0.00 μB/atom

```
16
Lattice="5.837 0.000 0.000 0.000 5.837 0.000 0.000 0.000 11.318" Properties=species:S:1:pos:R:3 pbc="T T T"
Te 0.000 0.000 0.000
Te 0.000 2.919 2.829
Te 2.919 0.000 8.488
Te 2.919 2.919 5.659
P 1.091 1.459 7.073
P 1.459 4.009 9.903
P 1.459 4.747 4.244
P 1.828 1.459 1.415
P 4.009 4.378 1.415
P 4.378 1.091 4.244
P 4.378 1.828 9.903
P 4.747 4.378 7.073
Pt 0.000 0.000 5.659
Pt 0.000 2.919 8.488
Pt 2.919 0.000 2.829
Pt 2.919 2.919 0.000
```

# 7
VASP calculation (PBE-GGA) on an optimized crystal structure of Pm2Dy4Tl3H2.

Output
Fermi-level density of states ... 0.788 states/eV per atom
Total magnetization ... 0.00 μB/atom
Total DFT energy (no corrections) ... -4.10 eV/atom

```
11
Lattice="-2.395 2.395 12.320 2.395 -2.395 12.320 2.395 2.395 -12.320" Properties=species:S:1:pos:R:3 pbc="T T T"
Pm 0.000 0.000 4.853
Pm 0.000 0.000 19.786
Dy 2.395 0.000 2.043
Dy 2.395 0.000 10.277
Dy 0.000 2.395 2.043
Dy 0.000 2.395 10.277
Tl 0.000 0.000 8.093
Tl 0.000 0.000 12.320
Tl 0.000 0.000 16.546
H 0.000 0.000 2.440
H 0.000 0.000 22.199
```

# 8
VASP calculation (PBE-GGA) on an optimized crystal structure of Cs3SrAs.

Output
Fermi-level density of states ... 1.634 states/eV per atom
Total magnetization ... 0.00 μB/atom
DFT formation energy ... 0.76 eV/atom

```
5
Lattice="8.064 0.000 0.000 0.000 8.064 0.000 0.000 0.000 8.064" Properties=species:S:1:pos:R:3 pbc="T T T"
Cs 0.000 0.000 4.032
Cs 0.000 4.032 0.000
Cs 4.032 0.000 0.000
Sr 0.000 0.000 0.000
As 4.032 4.032 4.032
```